DFT (PBEsol) results for a geometry-optimized Li2AlRh structure.

a b c (Å): 9.869 2.937 4.099
angles (deg): 90.00 114.23 90.00
Space group C2/m (No. 12)
Symmetry-distinct sites (fractional):
1 Li 0.239 0.000 0.239 x4
2 Al 0.000 0.000 0.500 x2
3 Rh 0.000 0.500 0.000 x2

=====

DFT (PBEsol) results for a geometry-optimized LiAl2Rh2 structure.

## Properties
Polymorph energy (0 for the lowest one) = 0 meV/atom

a b c (Å): 7.035 7.035 2.891
angles (deg): 90.00 90.00 90.00
Space group P4/mbm (No. 127)
Symmetry-distinct sites (fractional):
1 Li 0.000 0.000 0.000 x2
2 Al 0.147 0.353 0.500 x4
3 Rh 0.149 0.649 0.000 x4

=====

DFT (PBEsol) results for a geometry-optimized Li2AlRh structure.

a b c (Å): 2.964 4.064 4.468
angles (deg): 90.00 90.00 90.00
Space group Pmmm (No. 47)
Symmetry-distinct sites (fractional):
1 Li 0.000 0.000 0.000 x1
2 Li 0.500 0.500 0.000 x1
3 Al 0.000 0.500 0.500 x1
4 Rh 0.500 0.000 0.500 x1

=====

Density of states at the Fermi level list, top to bottom, in states/eV/cell: 3.16, 3.45, 1.45
Formation enthalpy at 0 K list, top to bottom, in eV/atom: -0.4354, -0.7478, -0.4285